Run 1
## Mg16MnAl12 (GGA-PBE)

Data for a relaxed structure of Mg16MnAl12.

Structure (CIF):
```
data_Mg16MnAl12
_cell_length_a 10.464
_cell_length_b 14.772
_cell_length_c 9.033
_cell_angle_alpha 90.00
_cell_angle_beta 125.10
_cell_angle_gamma 90.00
_symmetry_space_group_name_H-M 'C 1 m 1'
_symmetry_Int_Tables_number 8
_symmetry_space_group_name_Hall 'C -2y'
loop_
_atom_site_label
_atom_site_type_symbol
_atom_site_fract_x
_atom_site_fract_y
_atom_site_fract_z
Mg1 Mg 0.000 0.000 0.000
Mg2 Mg 0.015 0.301 0.319
Mg3 Mg 0.016 0.000 0.656
Mg4 Mg 0.036 0.364 0.994
Mg5 Mg 0.102 0.500 0.292
Mg6 Mg 0.201 0.196 0.690
Mg7 Mg 0.326 0.328 0.004
Mg8 Mg 0.340 0.342 0.400
Mg9 Mg 0.344 0.000 0.351
Mg10 Mg 0.440 0.158 0.603
Mn1 Mn 0.315 0.000 0.694
Al1 Al 0.098 0.091 0.378
Al2 Al 0.120 0.500 0.814
Al3 Al 0.180 0.185 0.187
Al4 Al 0.229 0.407 0.639
Al5 Al 0.276 0.090 0.003
Al6 Al 0.315 0.500 0.181
Al7 Al 0.498 0.316 0.819
```

Summary:
N(E_F)   0.35 states/eV/atom
Mass density   2.23 g/cm3
Volume   19.7 Å³/atom

***

Run 2
## Mg16MnAl12 (GGA-PBE)

Data for a relaxed structure of Mg16MnAl12.

Structure (CIF):
```
data_Mg16MnAl12
_cell_length_a 10.488
_cell_length_b 10.488
_cell_length_c 10.488
_cell_angle_alpha 90.00
_cell_angle_beta 90.00
_cell_angle_gamma 90.00
_symmetry_space_group_name_H-M 'I -4 3 m'
_symmetry_Int_Tables_number 217
_symmetry_space_group_name_Hall 'I -4 2 3'
loop_
_atom_site_label
_atom_site_type_symbol
_atom_site_fract_x
_atom_site_fract_y
_atom_site_fract_z
Mg1 Mg 0.042 0.357 0.643
Mg2 Mg 0.168 0.168 0.168
Mn1 Mn 0.000 0.000 0.000
Al1 Al 0.090 0.090 0.726
```

Summary:
N(E_F)   0.33 states/eV/atom
Mass density   2.21 g/cm3
Volume   19.9 Å³/atom

***

How far above the most stable structure does each one sit? In eV/atom: run 1 0.000; run 2 0.016.

***

Run 1
## Mg6AlMo (GGA-PBE)

Data for a relaxed structure of Mg6AlMo.

Structure (CIF):
```
data_Mg6AlMo
_cell_length_a 4.845
_cell_length_b 6.094
_cell_length_c 10.720
_cell_angle_alpha 90.00
_cell_angle_beta 90.00
_cell_angle_gamma 90.00
_symmetry_space_group_name_H-M 'A m m 2'
_symmetry_Int_Tables_number 38
_symmetry_space_group_name_Hall 'A 2 -2'
loop_
_atom_site_label
_atom_site_type_symbol
_atom_site_fract_x
_atom_site_fract_y
_atom_site_fract_z
Mg1 Mg 0.000 0.000 0.000
Mg2 Mg 0.000 0.237 0.254
Mg3 Mg 0.500 0.000 0.838
Mg4 Mg 0.500 0.246 0.590
Al1 Al 0.000 0.000 0.481
Mo1 Mo 0.500 0.000 0.349
```

Summary:
N(E_F)   0.81 states/eV/atom
Mass density   2.82 g/cm3
Volume   19.8 Å³/atom

***

Run 2
## Mg6AlMo (GGA-PBE)

Data for a relaxed structure of Mg6AlMo.

Structure (CIF):
```
data_Mg6AlMo
_cell_length_a 4.965
_cell_length_b 5.880
_cell_length_c 10.781
_cell_angle_alpha 90.00
_cell_angle_beta 90.00
_cell_angle_gamma 90.00
_symmetry_space_group_name_H-M 'A m m 2'
_symmetry_Int_Tables_number 38
_symmetry_space_group_name_Hall 'A 2 -2'
loop_
_atom_site_label
_atom_site_type_symbol
_atom_site_fract_x
_atom_site_fract_y
_atom_site_fract_z
Mg1 Mg 0.000 0.000 0.000
Mg2 Mg 0.000 0.000 0.498
Mg3 Mg 0.000 0.240 0.259
Mg4 Mg 0.500 0.249 0.597
Al1 Al 0.500 0.000 0.845
Mo1 Mo 0.500 0.000 0.349
```

Summary:
N(E_F)   0.63 states/eV/atom
Mass density   2.84 g/cm3
Volume   19.7 Å³/atom

***

How far above the most stable structure does each one sit? In eV/atom: run 1 0.000; run 2 0.012.

***

Run 1
## Mg14AlMo (GGA-PBE)

Data for a relaxed structure of Mg14AlMo.

Structure (CIF):
```
data_Mg14AlMo
_cell_length_a 6.2389
_cell_length_b 6.2389
_cell_length_c 10.0772
_cell_angle_alpha 90.00
_cell_angle_beta 90.00
_cell_angle_gamma 120.00
_symmetry_space_group_name_H-M 'P -6 m 2'
_symmetry_Int_Tables_number 187
_symmetry_space_group_name_Hall 'P -6 2'
loop_
_atom_site_label
_atom_site_type_symbol
_atom_site_fract_x
_atom_site_fract_y
_atom_site_fract_z
Mg1 Mg 0.0000 0.0000 0.2493
Mg2 Mg 0.0132 0.5066 0.2433
Mg3 Mg 0.3339 0.1670 0.0000
Mg4 Mg 0.3340 0.1670 0.5000
Al1 Al 0.3333 0.6667 0.5000
Mo1 Mo 0.3333 0.6667 0.0000
```

Summary:
N(E_F)   0.57 states/eV/atom
Mass density   2.26 g/cm3
Volume   21.2 Å³/atom

***

Run 2
## Mg14AlMo (GGA-PBE)

Data for a relaxed structure of Mg14AlMo.

Structure (CIF):
```
data_Mg14AlMo
_cell_length_a 10.208
_cell_length_b 6.156
_cell_length_c 10.834
_cell_angle_alpha 90.00
_cell_angle_beta 90.00
_cell_angle_gamma 90.00
_symmetry_space_group_name_H-M 'A m m 2'
_symmetry_Int_Tables_number 38
_symmetry_space_group_name_Hall 'A 2 -2'
loop_
_atom_site_label
_atom_site_type_symbol
_atom_site_fract_x
_atom_site_fract_y
_atom_site_fract_z
Mg1 Mg 0.000 0.000 0.000
Mg2 Mg 0.000 0.000 0.499
Mg3 Mg 0.000 0.249 0.251
Mg4 Mg 0.250 0.000 0.666
Mg5 Mg 0.258 0.000 0.161
Mg6 Mg 0.264 0.246 0.919
Mg7 Mg 0.500 0.250 0.249
Al1 Al 0.500 0.000 0.503
Mo1 Mo 0.500 0.000 0.002
```

Summary:
N(E_F)   0.52 states/eV/atom
Mass density   2.26 g/cm3
Volume   21.3 Å³/atom

***

How far above the most stable structure does each one sit? In eV/atom: run 1 0.011; run 2 0.000.

***

Run 1
## Mg2AlN (GGA-PBE)

Data for a relaxed structure of Mg2AlN.

Structure (CIF):
```
data_Mg2AlN
_cell_length_a 6.135
_cell_length_b 6.135
_cell_length_c 8.296
_cell_angle_alpha 90.00
_cell_angle_beta 90.00
_cell_angle_gamma 90.00
_symmetry_space_group_name_H-M 'I -4 2 d'
_symmetry_Int_Tables_number 122
_symmetry_space_group_name_Hall 'I -4 2bw'
loop_
_atom_site_label
_atom_site_type_symbol
_atom_site_fract_x
_atom_site_fract_y
_atom_site_fract_z
Mg1 Mg 0.112 0.250 0.125
Al1 Al 0.000 0.000 0.500
N1 N 0.000 0.000 0.000
```

Summary:
N(E_F)   0.04 states/eV/atom
Mass density   1.91 g/cm3
Volume   19.5 Å³/atom

***

Run 2
## Mg2AlN (GGA-PBE)

Data for a relaxed structure of Mg2AlN.

Structure (CIF):
```
data_Mg2AlN
_cell_length_a 6.394
_cell_length_b 6.394
_cell_length_c 6.394
_cell_angle_alpha 90.00
_cell_angle_beta 90.00
_cell_angle_gamma 90.00
_symmetry_space_group_name_H-M 'F m -3 m'
_symmetry_Int_Tables_number 225
_symmetry_space_group_name_Hall '-F 4 2 3'
loop_
_atom_site_label
_atom_site_type_symbol
_atom_site_fract_x
_atom_site_fract_y
_atom_site_fract_z
Mg1 Mg 0.250 0.250 0.250
Al1 Al 0.000 0.000 0.000
N1 N 0.000 0.000 0.500
```

Summary:
N(E_F)   0.37 states/eV/atom
Mass density   2.28 g/cm3
Volume   16.3 Å³/atom

***

How far above the most stable structure does each one sit? In eV/atom: run 1 0.000; run 2 0.755.

***

Run 1
## MgAlN (GGA-PBE)

Data for a relaxed structure of MgAlN.

Structure (CIF):
```
data_MgAlN
_cell_length_a 7.589
_cell_length_b 4.480
_cell_length_c 4.480
_cell_angle_alpha 90.00
_cell_angle_beta 90.00
_cell_angle_gamma 90.00
_symmetry_space_group_name_H-M 'P b c m'
_symmetry_Int_Tables_number 57
_symmetry_space_group_name_Hall '-P 2c 2b'
loop_
_atom_site_label
_atom_site_type_symbol
_atom_site_fract_x
_atom_site_fract_y
_atom_site_fract_z
Mg1 Mg 0.126 0.003 0.250
Al1 Al 0.400 0.514 0.250
N1 N 0.160 0.501 0.250
```

Summary:
N(E_F)   0.07 states/eV/atom
Mass density   2.85 g/cm3
Volume   12.7 Å³/atom

***

Run 2
## MgAlN (GGA-PBE)

Data for a relaxed structure of MgAlN.

Structure (CIF):
```
data_MgAlN
_cell_length_a 3.737
_cell_length_b 3.737
_cell_length_c 6.778
_cell_angle_alpha 90.00
_cell_angle_beta 90.00
_cell_angle_gamma 90.00
_symmetry_space_group_name_H-M 'P 4/n m m'
_symmetry_Int_Tables_number 129
loop_
_symmetry_equiv_pos_as_xyz
'x,y,z'
'-x,-y,-z'
'-y+1/2,x,z'
'y+1/2,-x,-z'
'-x+1/2,-y+1/2,z'
'x+1/2,y+1/2,-z'
'y,-x+1/2,z'
'-y,x+1/2,-z'
'x+1/2,-y,-z'
'-x+1/2,y,z'
'-y,-x,-z'
'y,x,z'
'-x,y+1/2,-z'
'x,-y+1/2,z'
'y+1/2,x+1/2,-z'
'-y+1/2,-x+1/2,z'
loop_
_atom_site_label
_atom_site_type_symbol
_atom_site_fract_x
_atom_site_fract_y
_atom_site_fract_z
Mg1 Mg 0.250 0.250 0.099
Al1 Al 0.250 0.750 0.500
N1 N 0.250 0.250 0.429
```

Summary:
N(E_F)   0.18 states/eV/atom
Mass density   2.29 g/cm3
Volume   15.8 Å³/atom

***

How far above the most stable structure does each one sit? In eV/atom: run 1 0.000; run 2 0.123.

***

Run 1
## Mg3AlN (GGA-PBE)

Data for a relaxed structure of Mg3AlN.

Structure (CIF):
```
data_Mg3AlN
_cell_length_a 4.330
_cell_length_b 4.330
_cell_length_c 4.330
_cell_angle_alpha 90.00
_cell_angle_beta 90.00
_cell_angle_gamma 90.00
_symmetry_space_group_name_H-M 'P m -3 m'
_symmetry_Int_Tables_number 221
_symmetry_space_group_name_Hall '-P 4 2 3'
loop_
_atom_site_label
_atom_site_type_symbol
_atom_site_fract_x
_atom_site_fract_y
_atom_site_fract_z
Mg1 Mg 0.000 0.000 0.500
Al1 Al 0.500 0.500 0.500
N1 N 0.000 0.000 0.000
```

Summary:
N(E_F)   0.29 states/eV/atom
Mass density   2.33 g/cm3
Volume   16.2 Å³/atom

***

Run 2
## Mg3AlN (GGA-PBE)

Data for a relaxed structure of Mg3AlN.

Structure (CIF):
```
data_Mg3AlN
_cell_length_a 5.149
_cell_length_b 5.149
_cell_length_c 5.149
_cell_angle_alpha 90.00
_cell_angle_beta 90.00
_cell_angle_gamma 90.00
_symmetry_space_group_name_H-M 'P m -3 m'
_symmetry_Int_Tables_number 221
_symmetry_space_group_name_Hall '-P 4 2 3'
loop_
_atom_site_label
_atom_site_type_symbol
_atom_site_fract_x
_atom_site_fract_y
_atom_site_fract_z
Mg1 Mg 0.000 0.000 0.500
Al1 Al 0.000 0.000 0.000
N1 N 0.500 0.500 0.500
```

Summary:
N(E_F)   0.49 states/eV/atom
Mass density   1.39 g/cm3
Volume   27.3 Å³/atom

***

How far above the most stable structure does each one sit? In eV/atom: run 1 0.000; run 2 1.470.

***

Run 1
## MgAlSN2 (GGA-PBE)

Data for a relaxed structure of MgAlSN2.

Structure (CIF):
```
data_MgAlSN2
_cell_length_a 3.956
_cell_length_b 3.956
_cell_length_c 5.164
_cell_angle_alpha 90.00
_cell_angle_beta 90.00
_cell_angle_gamma 90.00
_symmetry_space_group_name_H-M 'P 4/m m m'
_symmetry_Int_Tables_number 123
_symmetry_space_group_name_Hall '-P 4 2'
loop_
_atom_site_label
_atom_site_type_symbol
_atom_site_fract_x
_atom_site_fract_y
_atom_site_fract_z
Mg1 Mg 0.000 0.000 0.000
Al1 Al 0.500 0.500 0.500
S1 S 0.000 0.000 0.500
N1 N 0.000 0.500 0.000
```

Summary:
N(E_F)   0.49 states/eV/atom
Mass density   2.29 g/cm3
Volume   16.2 Å³/atom

***

Run 2
## MgAlSN2 (GGA-PBE)

Data for a relaxed structure of MgAlSN2.

Structure (CIF):
```
data_MgAlSN2
_cell_length_a 3.684
_cell_length_b 3.684
_cell_length_c 5.296
_cell_angle_alpha 90.00
_cell_angle_beta 90.00
_cell_angle_gamma 90.00
_symmetry_space_group_name_H-M 'P 4/m m m'
_symmetry_Int_Tables_number 123
_symmetry_space_group_name_Hall '-P 4 2'
loop_
_atom_site_label
_atom_site_type_symbol
_atom_site_fract_x
_atom_site_fract_y
_atom_site_fract_z
Mg1 Mg 0.000 0.000 0.000
Al1 Al 0.500 0.500 0.500
S1 S 0.500 0.500 0.000
N1 N 0.000 0.500 0.500
```

Summary:
N(E_F)   0.46 states/eV/atom
Mass density   2.57 g/cm3
Volume   14.4 Å³/atom

***

How far above the most stable structure does each one sit? In eV/atom: run 1 0.963; run 2 0.000.

***

Run 1
## MgAlSeN2 (GGA-PBE)

Data for a relaxed structure of MgAlSeN2.

Structure (CIF):
```
data_MgAlSeN2
_cell_length_a 3.730
_cell_length_b 3.730
_cell_length_c 5.597
_cell_angle_alpha 90.00
_cell_angle_beta 90.00
_cell_angle_gamma 90.00
_symmetry_space_group_name_H-M 'P 4/m m m'
_symmetry_Int_Tables_number 123
_symmetry_space_group_name_Hall '-P 4 2'
loop_
_atom_site_label
_atom_site_type_symbol
_atom_site_fract_x
_atom_site_fract_y
_atom_site_fract_z
Mg1 Mg 0.000 0.000 0.000
Al1 Al 0.500 0.500 0.500
Se1 Se 0.500 0.500 0.000
N1 N 0.000 0.500 0.500
```

Summary:
N(E_F)   0.44 states/eV/atom
Mass density   3.37 g/cm3
Volume   15.6 Å³/atom

***

Run 2
## MgAlSeN2 (GGA-PBE)

Data for a relaxed structure of MgAlSeN2.

Structure (CIF):
```
data_MgAlSeN2
_cell_length_a 4.004
_cell_length_b 4.004
_cell_length_c 5.505
_cell_angle_alpha 90.00
_cell_angle_beta 90.00
_cell_angle_gamma 90.00
_symmetry_space_group_name_H-M 'P 4/m m m'
_symmetry_Int_Tables_number 123
_symmetry_space_group_name_Hall '-P 4 2'
loop_
_atom_site_label
_atom_site_type_symbol
_atom_site_fract_x
_atom_site_fract_y
_atom_site_fract_z
Mg1 Mg 0.000 0.000 0.000
Al1 Al 0.500 0.500 0.500
Se1 Se 0.000 0.000 0.500
N1 N 0.000 0.500 0.000
```

Summary:
N(E_F)   0.43 states/eV/atom
Mass density   2.98 g/cm3
Volume   17.7 Å³/atom

***

How far above the most stable structure does each one sit? In eV/atom: run 1 0.000; run 2 0.865.

***

Run 1
## MgAlTeN2 (GGA-PBE)

Data for a relaxed structure of MgAlTeN2.

Structure (CIF):
```
data_MgAlTeN2
_cell_length_a 4.133
_cell_length_b 4.133
_cell_length_c 6.010
_cell_angle_alpha 90.00
_cell_angle_beta 90.00
_cell_angle_gamma 90.00
_symmetry_space_group_name_H-M 'P 4/m m m'
_symmetry_Int_Tables_number 123
_symmetry_space_group_name_Hall '-P 4 2'
loop_
_atom_site_label
_atom_site_type_symbol
_atom_site_fract_x
_atom_site_fract_y
_atom_site_fract_z
Mg1 Mg 0.000 0.000 0.000
Al1 Al 0.500 0.500 0.500
Te1 Te 0.000 0.000 0.500
N1 N 0.000 0.500 0.000
```

Summary:
N(E_F)   0.33 states/eV/atom
Mass density   3.35 g/cm3
Volume   20.5 Å³/atom

***

Run 2
## MgAlTeN2 (GGA-PBE)

Data for a relaxed structure of MgAlTeN2.

Structure (CIF):
```
data_MgAlTeN2
_cell_length_a 3.846
_cell_length_b 3.846
_cell_length_c 5.932
_cell_angle_alpha 90.00
_cell_angle_beta 90.00
_cell_angle_gamma 90.00
_symmetry_space_group_name_H-M 'P 4/m m m'
_symmetry_Int_Tables_number 123
_symmetry_space_group_name_Hall '-P 4 2'
loop_
_atom_site_label
_atom_site_type_symbol
_atom_site_fract_x
_atom_site_fract_y
_atom_site_fract_z
Mg1 Mg 0.000 0.000 0.000
Al1 Al 0.500 0.500 0.500
Te1 Te 0.500 0.500 0.000
N1 N 0.000 0.500 0.500
```

Summary:
N(E_F)   0.42 states/eV/atom
Mass density   3.92 g/cm3
Volume   17.6 Å³/atom

***

How far above the most stable structure does each one sit? In eV/atom: run 1 0.666; run 2 0.000.

***

Run 1
## MgTi2AlN (GGA-PBE)

Data for a relaxed structure of MgTi2AlN.

Structure (CIF):
```
data_MgTi2AlN
_cell_length_a 4.153
_cell_length_b 4.153
_cell_length_c 4.203
_cell_angle_alpha 90.00
_cell_angle_beta 90.00
_cell_angle_gamma 90.00
_symmetry_space_group_name_H-M 'P 4/m m m'
_symmetry_Int_Tables_number 123
_symmetry_space_group_name_Hall '-P 4 2'
loop_
_atom_site_label
_atom_site_type_symbol
_atom_site_fract_x
_atom_site_fract_y
_atom_site_fract_z
Mg1 Mg 0.000 0.000 0.000
Ti1 Ti 0.000 0.500 0.500
Al1 Al 0.500 0.500 0.000
N1 N 0.000 0.000 0.500
```

Summary:
N(E_F)   0.59 states/eV/atom
Mass density   3.69 g/cm3
Volume   14.5 Å³/atom

***

Run 2
## MgTi2AlN (GGA-PBE)

Data for a relaxed structure of MgTi2AlN.

Structure (CIF):
```
data_MgTi2AlN
_cell_length_a 4.200
_cell_length_b 4.200
_cell_length_c 4.129
_cell_angle_alpha 90.00
_cell_angle_beta 90.00
_cell_angle_gamma 90.00
_symmetry_space_group_name_H-M 'P 4/m m m'
_symmetry_Int_Tables_number 123
_symmetry_space_group_name_Hall '-P 4 2'
loop_
_atom_site_label
_atom_site_type_symbol
_atom_site_fract_x
_atom_site_fract_y
_atom_site_fract_z
Mg1 Mg 0.000 0.000 0.000
Ti1 Ti 0.000 0.500 0.500
Al1 Al 0.500 0.500 0.000
N1 N 0.500 0.500 0.500
```

Summary:
N(E_F)   0.67 states/eV/atom
Mass density   3.67 g/cm3
Volume   14.6 Å³/atom

***

How far above the most stable structure does each one sit? In eV/atom: run 1 0.000; run 2 0.213.